## one
Entry from Alexandria via LeMat-Bulk: CeSmZnAg after structural relaxation (GGA-PBE).

Symmetry: F-43m (216)

Cell lengths 5.217, 5.217, 5.217 Å; angles 60.00, 60.00, 60.00 degrees
Element x y z (fractional)
Ag1 0.000 0.000 0.000
Zn1 0.500 0.500 0.500
Ce1 0.750 0.750 0.750
Sm1 0.250 0.250 0.250

## two
Entry from Alexandria via LeMat-Bulk: CeSmZnAg after structural relaxation (GGA-PBE).

Symmetry: P4mm (99)

Cell lengths 3.660, 3.660, 7.433 Å; angles 90.00, 90.00, 90.00 degrees
Element x y z (fractional)
Ce1 0.500 0.500 0.118
Sm1 0.500 0.500 0.599
Zn1 0.000 0.000 0.361
Ag1 0.000 0.000 0.850

Most favorable structure: two. The second most favorable one is 0.025 eV/atom above it.

## one
Entry from Alexandria via LeMat-Bulk: Tb2CeAg after structural relaxation (GGA-PBE).

Symmetry: P4/mmm (123)

Cell lengths 3.562, 5.448, 5.448 Å; angles 90.00, 90.00, 90.00 degrees
Element x y z (fractional)
Tb1 0.000 0.000 0.500
Tb2 0.000 0.500 0.000
Ag1 0.500 0.000 0.000
Ce1 0.500 0.500 0.500

## two
Entry from Alexandria via LeMat-Bulk: Tb2CeAg after structural relaxation (GGA-PBE).

Symmetry: Fm-3m (225)

Cell lengths 5.314, 5.314, 5.314 Å; angles 60.00, 60.00, 60.00 degrees
Element x y z (fractional)
Tb1 0.250 0.250 0.250
Tb2 0.750 0.750 0.750
Ag1 0.500 0.500 0.500
Ce1 0.000 0.000 0.000

## three
Entry from Alexandria via LeMat-Bulk: Tb2CeAg after structural relaxation (GGA-PBE).

Symmetry: R3m (160)

Cell lengths 3.497, 3.497, 10.850 Å; angles 80.73, 80.73, 60.00 degrees
Element x y z (fractional)
Tb1 0.075 0.075 0.775
Tb2 0.258 0.258 0.225
Ce1 0.500 0.500 0.501
Ag1 0.667 0.667 0.000

## four
Entry from Alexandria via LeMat-Bulk: Tb2CeAg after structural relaxation (GGA-PBE).

Symmetry: P4/mmm (123)

Cell lengths 3.622, 3.622, 8.292 Å; angles 90.00, 90.00, 90.00 degrees
Element x y z (fractional)
Tb1 0.000 0.000 0.780
Tb2 0.000 0.000 0.220
Ag1 0.500 0.500 0.000
Ce1 0.500 0.500 0.500

Most favorable structure: four. The second most favorable one is 0.109 eV/atom above it.

## one
Entry from Alexandria via LeMat-Bulk: TbCeAg2 after structural relaxation (GGA-PBE).

Symmetry: Fm-3m (225)

Cell lengths 5.225, 5.225, 5.225 Å; angles 60.00, 60.00, 60.00 degrees
Element x y z (fractional)
Tb1 0.000 0.000 0.000
Ag1 0.250 0.250 0.250
Ag2 0.750 0.750 0.750
Ce1 0.500 0.500 0.500

## two
Entry from Alexandria via LeMat-Bulk: TbCeAg2 after structural relaxation (GGA-PBE).

Symmetry: P4/mmm (123)

Cell lengths 3.615, 3.615, 7.678 Å; angles 90.00, 90.00, 90.00 degrees
Element x y z (fractional)
Tb1 0.500 0.500 0.000
Ag1 0.000 0.000 0.768
Ag2 0.000 0.000 0.232
Ce1 0.500 0.500 0.500

Most favorable structure: two. The second most favorable one is 0.019 eV/atom above it.

## one
Entry from Alexandria via LeMat-Bulk: TbCeZnAg after structural relaxation (GGA-PBE).

Symmetry: F-43m (216)

Cell lengths 5.177, 5.177, 5.177 Å; angles 60.00, 60.00, 60.00 degrees
Element x y z (fractional)
Zn1 0.250 0.250 0.250
Tb1 0.500 0.500 0.500
Ag1 0.750 0.750 0.750
Ce1 0.000 0.000 0.000

## two
Entry from Alexandria via LeMat-Bulk: TbCeZnAg after structural relaxation (GGA-PBE).

Symmetry: P4mm (99)

Cell lengths 3.605, 3.605, 7.472 Å; angles 90.00, 90.00, 90.00 degrees
Element x y z (fractional)
Tb1 0.500 0.500 0.601
Ce1 0.500 0.500 0.119
Zn1 0.000 0.000 0.368
Ag1 0.000 0.000 0.840

Most favorable structure: two. The second most favorable one is 0.029 eV/atom above it.